La12Pm3Tm | GGA-PBE | optimized geometry

Cell and atoms, written as extended XYZ:
```
16
Lattice="5.226 0.000 0.000 0.000 5.226 0.000 0.000 0.000 20.921" Properties=species:S:1:pos:R:3 pbc="T T T"
La 0.000 0.000 0.000
La 0.000 0.000 5.210
La 0.000 0.000 10.460
La 0.000 0.000 15.711
La 0.000 2.613 2.583
La 0.000 2.613 7.831
La 0.000 2.613 13.090
La 0.000 2.613 18.338
La 2.613 0.000 2.583
La 2.613 0.000 7.831
La 2.613 0.000 13.090
La 2.613 0.000 18.338
Pm 2.613 2.613 5.203
Pm 2.613 2.613 10.460
Pm 2.613 2.613 15.718
Tm 2.613 2.613 0.000
```

Summary:
Space-group type = P4/mmm (123)
Formation enthalpy at 0 K = 0.01 eV/atom
DOS at the Fermi energy = 24.85 states/eV/f.u.
Calculated total energy = -4.858 eV per atom
Magnetic moment = 0.00 μB/cell